Record 1
## SrInGeSe2 (PBE)

Data for an optimized crystal structure of SrInGeSe2.

a b c (Å): 5.7744 5.7734 5.7744
angles (deg): 90.00 90.00 90.00
Element x y z (fractional)
Sr (0.0000, 0.0000, 0.0000)
Ge (0.0000, 0.5000, 0.0000)
Se (0.0000, 0.0000, 0.5000)
Se (0.5000, 0.0000, 0.0000)
In (0.5000, 0.5000, 0.5000)

Values from the calculation:
The value obtained for the spin magnetization is 0.1 Bohr magnetons per cell. For the density of states at the Fermi level, the calculation gives 1.007 states/eV/atom. The raw formation energy comes out at 0.22 eV/atom. As for the space group: P4/mmm.

---

Record 2
## EuThIrRu (PBE)

Data for an optimized crystal structure of EuThIrRu.

a b c (Å): 4.9800 4.9800 4.9800
angles (deg): 60.00 60.00 60.00
Element x y z (fractional)
Eu (0.0000, 0.0000, 0.0000)
Ru (0.7500, 0.7500, 0.7500)
Ir (0.2500, 0.2500, 0.2500)
Th (0.5000, 0.5000, 0.5000)

Values from the calculation:
The value obtained for the spin magnetization is 6.6 Bohr magnetons per cell. The formation energy comes out at -334.5 meV per atom. For the density of states at the Fermi level, the calculation gives 1.995 states/eV/atom. As for the space group: F-43m.

---

Record 3
## InCu2Br (PBE)

Data for an optimized crystal structure of InCu2Br.

a b c (Å): 3.6128 3.8024 6.1901
angles (deg): 90.04 90.00 90.00
Element x y z (fractional)
Br (0.5000, 0.7500, 0.7500)
Cu (0.0000, 0.7496, 0.0599)
Cu (0.0000, 0.7504, 0.4401)
In (0.5000, 0.2500, 0.2500)

Values from the calculation:
The value obtained for the spin magnetization is 0.0 Bohr magnetons per cell. For the density of states at the Fermi level, the calculation gives 0.241 states/eV/atom. The raw formation energy comes out at 0.06 eV/atom. As for the space group: Pmmm.

---

Record 4
## RbBaSn3 (PBE)

Data for an optimized crystal structure of RbBaSn3.

a b c (Å): 6.3777 6.3777 6.3777
angles (deg): 90.00 90.00 90.00
Element x y z (fractional)
Ba (0.0000, 0.0000, 0.0000)
Rb (0.5000, 0.5000, 0.5000)
Sn (0.0000, 0.5000, 0.0000)
Sn (0.0000, 0.0000, 0.5000)
Sn (0.5000, 0.0000, 0.0000)

Values from the calculation:
The value obtained for the spin magnetization is 0.0 Bohr magnetons per cell. The formation energy comes out at 494.0 meV per atom. For the density of states at the Fermi level, the calculation gives 1.653 states/eV/atom. As for the space group: Pm-3m.

---

Record 5
## Na2TcF (PBE)

Data for an optimized crystal structure of Na2TcF.

a b c (Å): 5.0187 5.0187 5.0187
angles (deg): 60.00 60.00 60.00
Element x y z (fractional)
Na (0.2500, 0.2500, 0.2500)
Na (0.7500, 0.7500, 0.7500)
Tc (0.5000, 0.5000, 0.5000)
F (0.0000, 0.0000, 0.0000)

Values from the calculation:
The value obtained for the spin magnetization is 4.0 Bohr magnetons per cell. For the density of states at the Fermi level, the calculation gives 0.807 states/eV/atom. The raw formation energy comes out at 0.39 eV/atom. As for the space group: Fm-3m.

---

Record 6
## Hf5CoPd (PBE)

Data for an optimized crystal structure of Hf5CoPd.

a b c (Å): 5.8236 5.8236 9.8231
angles (deg): 71.64 71.64 67.69
Element x y z (fractional)
Hf (0.0021, 0.5534, 0.1515)
Hf (0.2292, 0.5349, 0.5095)
Hf (0.5534, 0.0021, 0.6515)
Hf (0.0052, 0.9948, 0.2500)
Hf (0.4651, 0.7708, 0.9905)
Hf (0.5349, 0.2292, 0.0095)
Hf (0.9948, 0.0052, 0.7500)
Hf (0.4466, 0.9979, 0.3485)
Hf (0.7708, 0.4651, 0.4905)
Hf (0.9979, 0.4466, 0.8485)
Co (0.0000, 0.0000, 0.0000)
Co (0.0000, 0.0000, 0.5000)
Pd (0.5378, 0.4622, 0.2500)
Pd (0.4622, 0.5378, 0.7500)

Values from the calculation:
The value obtained for the spin magnetization is 0.0 Bohr magnetons per cell. The formation energy comes out at -25.2 meV per atom. For the density of states at the Fermi level, the calculation gives 0.887 states/eV/atom. As for the space group: C2/c.